(1)
Density functional theory data (PBE) for an optimized crystal structure of SmMg2Zn.

Lattice parameters (Å, degrees): 3.344 3.344 8.307 90.00 90.00 90.00
Sites, in units of the cell vectors:
Sm  0.000  0.000  0.000
Mg  0.500  0.500  0.300
Mg  0.500  0.500  0.700
Zn  0.000  0.000  0.500

Properties
- space group = P4/mmm (123)
- DFT formation energy (kJ/mol of formula units) = -32
- total magnetic moment (Bohr magnetons per cell) = 0.003

(2)
Density functional theory data (PBE) for an optimized crystal structure of SmMgZn2.

Lattice parameters (Å, degrees): 3.452 3.452 7.057 90.00 90.00 90.00
Sites, in units of the cell vectors:
Sm  0.000  0.000  0.000
Mg  0.000  0.000  0.500
Zn  0.500  0.500  0.283
Zn  0.500  0.500  0.717

Properties
- space group = P4/mmm (123)
- DFT formation energy (kJ/mol of formula units) = -80
- total magnetic moment (Bohr magnetons per cell) = 0.005

(3)
Density functional theory data (PBE) for an optimized crystal structure of SmMgZr2.

Lattice parameters (Å, degrees): 4.608 4.608 4.668 90.00 90.00 90.00
Sites, in units of the cell vectors:
Sm  0.000  0.000  0.000
Mg  0.500  0.500  0.000
Zr  0.000  0.500  0.500
Zr  0.500  0.000  0.500

Properties
- space group = P4/mmm (123)
- DFT formation energy (kJ/mol of formula units) = 43
- total magnetic moment (Bohr magnetons per cell) = 0.000
- distance to the lowest polymorph of the same formula (meV/atom) = 0

(4)
Density functional theory data (PBE) for an optimized crystal structure of SmMg4Zr.

Lattice parameters (Å, degrees): 5.925 5.925 5.925 60.00 60.00 60.00
Sites, in units of the cell vectors:
Sm  0.000  0.000  0.000
Mg  0.376  0.376  0.376
Mg  0.376  0.376  0.873
Mg  0.376  0.873  0.376
Mg  0.873  0.376  0.376
Zr  0.750  0.750  0.750

Properties
- space group = F-43m (216)
- DFT formation energy (kJ/mol of formula units) = 29
- total magnetic moment (Bohr magnetons per cell) = 2.334

(5)
Density functional theory data (PBE) for an optimized crystal structure of Sm5Mg12Zr3.

Lattice parameters (Å, degrees): 15.252 15.252 15.252 109.47 109.47 109.47
Sites, in units of the cell vectors:
Sm  0.000  0.000  0.000
Sm  0.000  0.000  0.500
Sm  0.000  0.500  0.000
Sm  0.000  0.500  0.500
Sm  0.125  0.750  0.875
Sm  0.125  0.875  0.250
Sm  0.250  0.125  0.875
Sm  0.250  0.625  0.375
Sm  0.375  0.250  0.625
Sm  0.375  0.625  0.750
Sm  0.500  0.000  0.000
Sm  0.500  0.000  0.500
Sm  0.500  0.500  0.000
Sm  0.500  0.500  0.500
Sm  0.625  0.375  0.250
Sm  0.625  0.750  0.375
Sm  0.750  0.375  0.625
Sm  0.750  0.875  0.125
Sm  0.875  0.125  0.750
Sm  0.875  0.250  0.125
Mg  0.070  0.655  0.420
Mg  0.070  0.916  0.650
Mg  0.080  0.734  0.650
Mg  0.080  0.845  0.430
Mg  0.084  0.234  0.155
Mg  0.084  0.350  0.930
Mg  0.150  0.234  0.580
Mg  0.150  0.416  0.570
Mg  0.155  0.084  0.234
Mg  0.155  0.570  0.920
Mg  0.234  0.155  0.084
Mg  0.234  0.580  0.150
Mg  0.266  0.350  0.920
Mg  0.266  0.416  0.345
Mg  0.345  0.266  0.416
Mg  0.345  0.580  0.930
Mg  0.350  0.920  0.266
Mg  0.350  0.930  0.084
Mg  0.416  0.345  0.266
Mg  0.416  0.570  0.150
Mg  0.420  0.070  0.655
Mg  0.420  0.850  0.766
Mg  0.430  0.080  0.845
Mg  0.430  0.850  0.584
Mg  0.570  0.150  0.416
Mg  0.570  0.920  0.155
Mg  0.580  0.150  0.234
Mg  0.580  0.930  0.345
Mg  0.584  0.430  0.850
Mg  0.584  0.655  0.734
Mg  0.650  0.070  0.916
Mg  0.650  0.080  0.734
Mg  0.655  0.420  0.070
Mg  0.655  0.734  0.584
Mg  0.734  0.584  0.655
Mg  0.734  0.650  0.080
Mg  0.766  0.420  0.850
Mg  0.766  0.845  0.916
Mg  0.845  0.430  0.080
Mg  0.845  0.916  0.766
Mg  0.850  0.584  0.430
Mg  0.850  0.766  0.420
Mg  0.916  0.650  0.070
Mg  0.916  0.766  0.845
Mg  0.920  0.155  0.570
Mg  0.920  0.266  0.350
Mg  0.930  0.084  0.350
Mg  0.930  0.345  0.580
Zr  0.125  0.250  0.375
Zr  0.125  0.375  0.750
Zr  0.250  0.375  0.125
Zr  0.250  0.875  0.625
Zr  0.375  0.125  0.250
Zr  0.375  0.750  0.125
Zr  0.625  0.250  0.875
Zr  0.625  0.875  0.750
Zr  0.750  0.125  0.375
Zr  0.750  0.625  0.875
Zr  0.875  0.625  0.250
Zr  0.875  0.750  0.625

Properties
- space group = Ia-3d (230)
- DFT formation energy (kJ/mol of formula units) = 1593
- total magnetic moment (Bohr magnetons per cell) = 6.367

(6)
Density functional theory data (PBE) for an optimized crystal structure of SmMgZr2.

Lattice parameters (Å, degrees): 3.276 3.276 9.253 90.00 90.00 90.00
Sites, in units of the cell vectors:
Sm  0.000  0.000  0.000
Mg  0.000  0.000  0.500
Zr  0.500  0.500  0.265
Zr  0.500  0.500  0.735

Properties
- space group = P4/mmm (123)
- DFT formation energy (kJ/mol of formula units) = 49
- total magnetic moment (Bohr magnetons per cell) = 0.000
- distance to the lowest polymorph of the same formula (meV/atom) = 15

(7)
Density functional theory data (PBE) for an optimized crystal structure of MgSn.

Lattice parameters (Å, degrees): 5.895 5.895 6.054 90.00 90.00 90.00
Sites, in units of the cell vectors:
Mg  0.195  0.195  0.000
Mg  0.305  0.695  0.500
Mg  0.695  0.305  0.500
Mg  0.805  0.805  0.000
Sn  0.195  0.195  0.500
Sn  0.305  0.695  0.000
Sn  0.695  0.305  0.000
Sn  0.805  0.805  0.500

Properties
- space group = P4_2/mnm (136)
- DFT formation energy (kJ/mol of formula units) = 12
- total magnetic moment (Bohr magnetons per cell) = 0.000

(8)
Density functional theory data (PBE) for an optimized crystal structure of MgSn2.

Lattice parameters (Å, degrees): 6.203 6.203 6.203 60.00 60.00 60.00
Sites, in units of the cell vectors:
Mg  0.125  0.125  0.125
Mg  0.875  0.875  0.875
Sn  0.000  0.500  0.500
Sn  0.500  0.000  0.500
Sn  0.500  0.500  0.000
Sn  0.500  0.500  0.500

Properties
- space group = Fd-3m (227)
- DFT formation energy (kJ/mol of formula units) = 38
- total magnetic moment (Bohr magnetons per cell) = 0.000

(9)
Density functional theory data (PBE) for an optimized crystal structure of Mg3Sn2.

Lattice parameters (Å, degrees): 7.424 7.424 7.424 113.68 84.86 133.48
Sites, in units of the cell vectors:
Mg  0.111  0.619  0.730
Mg  0.250  0.250  0.000
Mg  0.389  0.119  0.508
Mg  0.611  0.881  0.492
Mg  0.750  0.750  0.000
Mg  0.889  0.381  0.270
Sn  0.145  0.256  0.402
Sn  0.355  0.756  0.111
Sn  0.645  0.244  0.889
Sn  0.855  0.744  0.598

Properties
- space group = Ibam (72)
- DFT formation energy (kJ/mol of formula units) = -35
- total magnetic moment (Bohr magnetons per cell) = 0.000
- distance to the lowest polymorph of the same formula (meV/atom) = 50

(10)
Density functional theory data (PBE) for an optimized crystal structure of MgSn.

Lattice parameters (Å, degrees): 7.209 7.065 5.994 66.43 63.93 49.65
Sites, in units of the cell vectors:
Mg  0.062  0.688  0.062
Mg  0.312  0.938  0.312
Mg  0.688  0.062  0.688
Mg  0.938  0.312  0.938
Sn  0.192  0.558  0.558
Sn  0.442  0.808  0.808
Sn  0.558  0.192  0.192
Sn  0.808  0.442  0.442

Properties
- space group = Fddd (70)
- DFT formation energy (kJ/mol of formula units) = -1
- total magnetic moment (Bohr magnetons per cell) = 0.000

(11)
Density functional theory data (PBE) for an optimized crystal structure of Mg9Sn5.

Lattice parameters (Å, degrees): 8.875 8.875 8.875 96.82 96.82 96.82
Sites, in units of the cell vectors:
Mg  0.019  0.393  0.090
Mg  0.073  0.164  0.763
Mg  0.075  0.763  0.670
Mg  0.090  0.019  0.393
Mg  0.093  0.411  0.496
Mg  0.164  0.763  0.073
Mg  0.341  0.740  0.423
Mg  0.393  0.090  0.019
Mg  0.411  0.496  0.093
Mg  0.423  0.341  0.740
Mg  0.445  0.749  0.818
Mg  0.496  0.093  0.411
Mg  0.670  0.075  0.763
Mg  0.740  0.423  0.341
Mg  0.749  0.818  0.445
Mg  0.763  0.073  0.164
Mg  0.763  0.670  0.075
Mg  0.818  0.445  0.749
Sn  0.006  0.667  0.331
Sn  0.054  0.054  0.054
Sn  0.168  0.506  0.830
Sn  0.288  0.288  0.288
Sn  0.331  0.006  0.667
Sn  0.506  0.830  0.168
Sn  0.555  0.555  0.555
Sn  0.667  0.331  0.006
Sn  0.789  0.789  0.789
Sn  0.830  0.168  0.506

Properties
- space group = R3 (146)
- DFT formation energy (kJ/mol of formula units) = -246
- total magnetic moment (Bohr magnetons per cell) = 0.000

(12)
Density functional theory data (PBE) for an optimized crystal structure of MgSn.

Lattice parameters (Å, degrees): 3.488 3.488 4.700 90.00 90.00 120.00
Sites, in units of the cell vectors:
Mg  0.000  0.000  0.000
Sn  0.667  0.333  0.500

Properties
- space group = P-6m2 (187)
- DFT formation energy (kJ/mol of formula units) = -15
- total magnetic moment (Bohr magnetons per cell) = 0.000